# 1
A plane-wave DFT calculation with GGA-PBE was carried out for crystalline MgH2Pd2 at its relaxed geometry.

Lattice parameters (Å, degrees): 5.724 5.724 3.510 90.00 90.00 90.00
Fractional coordinates of all 10 atoms:
Mg  0.000  0.000  0.000
Mg  0.500  0.500  0.000
H  0.159  0.341  0.000
H  0.341  0.841  0.000
H  0.659  0.159  0.000
H  0.841  0.659  0.000
Pd  0.173  0.327  0.500
Pd  0.327  0.827  0.500
Pd  0.673  0.173  0.500
Pd  0.827  0.673  0.500

* SG: P4/mbm (127)
* density of states at the Fermi level: 2.77 states/eV/cell
* E above lowest polymorph: 123 meV/atom
* total moment: 0.0 Bohr magnetons per cell
* VASP energy: -4.01 eV per atom

---

# 2
A plane-wave DFT calculation with GGA-PBE was carried out for crystalline MgHPd at its relaxed geometry.

Lattice parameters (Å, degrees): 3.087 4.785 5.239 101.28 106.90 90.01
Fractional coordinates of all 6 atoms:
Mg  0.107  0.309  0.216
Mg  0.893  0.691  0.784
H  0.206  0.756  0.416
H  0.794  0.244  0.584
Pd  0.378  0.174  0.753
Pd  0.622  0.826  0.247

* SG: P-1 (2)
* density of states at the Fermi level: 1.21 states/eV/cell
* total moment: 0.0 Bohr magnetons per cell
* VASP energy: -3.79 eV per atom

---

# 3
A plane-wave DFT calculation with GGA-PBE was carried out for crystalline Mg2HPd5 at its relaxed geometry.

Lattice parameters (Å, degrees): 7.117 5.693 11.573 90.00 90.00 90.00
Fractional coordinates of all 32 atoms:
Mg  0.023  0.250  0.198
Mg  0.184  0.750  0.418
Mg  0.316  0.250  0.918
Mg  0.477  0.750  0.698
Mg  0.523  0.250  0.302
Mg  0.684  0.750  0.082
Mg  0.816  0.250  0.582
Mg  0.977  0.750  0.802
H  0.135  0.250  0.552
H  0.365  0.750  0.052
H  0.635  0.250  0.948
H  0.865  0.750  0.448
Pd  0.000  0.000  0.000
Pd  0.000  0.500  0.000
Pd  0.022  0.750  0.203
Pd  0.163  0.509  0.632
Pd  0.163  0.991  0.632
Pd  0.187  0.250  0.403
Pd  0.313  0.750  0.903
Pd  0.337  0.009  0.132
Pd  0.337  0.491  0.132
Pd  0.478  0.250  0.703
Pd  0.500  0.000  0.500
Pd  0.500  0.500  0.500
Pd  0.522  0.750  0.297
Pd  0.663  0.509  0.868
Pd  0.663  0.991  0.868
Pd  0.687  0.250  0.097
Pd  0.813  0.750  0.597
Pd  0.837  0.009  0.368
Pd  0.837  0.491  0.368
Pd  0.978  0.250  0.797

* SG: Pnma (62)
* density of states at the Fermi level: 14.28 states/eV/cell
* total moment: 0.0 Bohr magnetons per cell
* VASP energy: -4.47 eV per atom

---

# 4
A plane-wave DFT calculation with GGA-PBE was carried out for crystalline Mg3H5Pd12 at its relaxed geometry.

Lattice parameters (Å, degrees): 11.086 11.086 11.086 109.47 109.47 109.47
Fractional coordinates of all 80 atoms:
Mg  0.125  0.250  0.375
Mg  0.125  0.375  0.750
Mg  0.250  0.375  0.125
Mg  0.250  0.875  0.625
Mg  0.375  0.125  0.250
Mg  0.375  0.750  0.125
Mg  0.625  0.250  0.875
Mg  0.625  0.875  0.750
Mg  0.750  0.125  0.375
Mg  0.750  0.625  0.875
Mg  0.875  0.625  0.250
Mg  0.875  0.750  0.625
H  0.000  0.000  0.000
H  0.000  0.000  0.500
H  0.000  0.500  0.000
H  0.000  0.500  0.500
H  0.125  0.750  0.875
H  0.125  0.875  0.250
H  0.250  0.125  0.875
H  0.250  0.625  0.375
H  0.375  0.250  0.625
H  0.375  0.625  0.750
H  0.500  0.000  0.000
H  0.500  0.000  0.500
H  0.500  0.500  0.000
H  0.500  0.500  0.500
H  0.625  0.375  0.250
H  0.625  0.750  0.375
H  0.750  0.375  0.625
H  0.750  0.875  0.125
H  0.875  0.125  0.750
H  0.875  0.250  0.125
Pd  0.006  0.194  0.103
Pd  0.006  0.313  0.904
Pd  0.091  0.694  0.687
Pd  0.091  0.897  0.404
Pd  0.096  0.603  0.409
Pd  0.096  0.994  0.687
Pd  0.103  0.006  0.194
Pd  0.103  0.596  0.909
Pd  0.187  0.194  0.591
Pd  0.187  0.494  0.596
Pd  0.194  0.103  0.006
Pd  0.194  0.591  0.187
Pd  0.306  0.313  0.909
Pd  0.306  0.494  0.397
Pd  0.313  0.904  0.006
Pd  0.313  0.909  0.306
Pd  0.397  0.306  0.494
Pd  0.397  0.591  0.904
Pd  0.404  0.091  0.897
Pd  0.404  0.813  0.506
Pd  0.409  0.096  0.603
Pd  0.409  0.813  0.806
Pd  0.494  0.397  0.306
Pd  0.494  0.596  0.187
Pd  0.506  0.404  0.813
Pd  0.506  0.603  0.694
Pd  0.591  0.187  0.194
Pd  0.591  0.904  0.397
Pd  0.596  0.187  0.494
Pd  0.596  0.909  0.103
Pd  0.603  0.409  0.096
Pd  0.603  0.694  0.506
Pd  0.687  0.091  0.694
Pd  0.687  0.096  0.994
Pd  0.694  0.506  0.603
Pd  0.694  0.687  0.091
Pd  0.806  0.409  0.813
Pd  0.806  0.897  0.994
Pd  0.813  0.506  0.404
Pd  0.813  0.806  0.409
Pd  0.897  0.404  0.091
Pd  0.897  0.994  0.806
Pd  0.904  0.006  0.313
Pd  0.904  0.397  0.591
Pd  0.909  0.103  0.596
Pd  0.909  0.306  0.313
Pd  0.994  0.687  0.096
Pd  0.994  0.806  0.897

* SG: Ia-3d (230)
* density of states at the Fermi level: 16.27 states/eV/cell
* total moment: 0.0 Bohr magnetons per cell
* VASP energy: -4.40 eV per atom